! KVGaF6 | the Alexandria database | GGA+U | relaxed; values from VASP
! - Electronic total energy: -5.28 eV/atom
! - Volume: 16.16 Å³ per atom
&SYSTEM
  ibrav = 0, nat = 9, ntyp = 4
/
ATOMIC_SPECIES
V 50.94 V.upf
F 19.00 F.upf
K 39.10 K.upf
Ga 69.72 Ga.upf
CELL_PARAMETERS angstrom
-2.008 4.968 -1.095
-1.935 1.125 -4.975
-5.123 -1.706 1.592
ATOMIC_POSITIONS crystal
V 0.667 0.666 0.500
F 0.359 0.026 0.691
F 0.614 0.027 0.309
F 0.027 0.360 0.309
F 0.360 0.615 0.309
F 0.026 0.614 0.691
F 0.613 0.359 0.691
K 0.000 0.000 0.000
Ga 0.333 0.333 0.500